VASP calculation (GGA-PBE) on a relaxed CdRe2Au crystal.

- Energy relative to the elements: 0.703 eV/atom
- Size of the total moment: 0.00 μB/atom

Unit cell a=2.7310 b=2.7310 c=9.7759 alpha=90.00 beta=90.00 gamma=112.46
Element x y z (fractional)
Cd: 0.0000 0.0000 0.0000
Re: 0.5000 0.5000 0.2528
Re: 0.5000 0.5000 0.7472
Au: 0.0000 0.0000 0.5000

=====

VASP calculation (GGA-PBE) on a relaxed UGaTc2 crystal.

- Energy relative to the elements: -0.318 eV/atom
- Size of the total moment: 0.00 μB/atom
- E above lowest polymorph: 0.000 eV/atom

Unit cell a=4.3129 b=4.3129 c=3.5417 alpha=90.00 beta=90.00 gamma=90.00
Element x y z (fractional)
U: 0.0000 0.0000 0.0000
Ga: 0.5000 0.5000 0.0000
Tc: 0.0000 0.5000 0.5000
Tc: 0.5000 0.0000 0.5000

=====

VASP calculation (GGA-PBE) on a relaxed TcCN2O crystal.

- Size of the total moment: 0.15 μB/atom
- E_form (uncorrected): 8.66 eV/f.u.

Unit cell a=3.9161 b=3.9161 c=3.7611 alpha=90.00 beta=90.00 gamma=90.00
Element x y z (fractional)
Tc: 0.0000 0.0000 0.0000
C: 0.5000 0.5000 0.5000
N: 0.0000 0.5000 0.0000
N: 0.5000 0.0000 0.0000
O: 0.0000 0.0000 0.5000

=====

VASP calculation (GGA-PBE) on a relaxed AsPtPb2 crystal.

- Energy relative to the elements: 0.127 eV/atom
- Size of the total moment: 0.00 μB/atom

Unit cell a=4.9898 b=4.9898 c=4.9898 alpha=114.24 beta=114.24 gamma=100.30
Element x y z (fractional)
As: 0.0000 0.0000 0.0000
Pt: 0.5000 0.5000 0.0000
Pb: 0.2500 0.7500 0.5000
Pb: 0.7500 0.2500 0.5000

=====

Repeat the third record exactly.
VASP calculation (GGA-PBE) on a relaxed TcCN2O crystal.

- Size of the total moment: 0.15 μB/atom
- E_form (uncorrected): 8.66 eV/f.u.

Unit cell a=3.9161 b=3.9161 c=3.7611 alpha=90.00 beta=90.00 gamma=90.00
Element x y z (fractional)
Tc: 0.0000 0.0000 0.0000
C: 0.5000 0.5000 0.5000
N: 0.0000 0.5000 0.0000
N: 0.5000 0.0000 0.0000
O: 0.0000 0.0000 0.5000

=====

Copy entry 3 word for word.
VASP calculation (GGA-PBE) on a relaxed TcCN2O crystal.

- Size of the total moment: 0.15 μB/atom
- E_form (uncorrected): 8.66 eV/f.u.

Unit cell a=3.9161 b=3.9161 c=3.7611 alpha=90.00 beta=90.00 gamma=90.00
Element x y z (fractional)
Tc: 0.0000 0.0000 0.0000
C: 0.5000 0.5000 0.5000
N: 0.0000 0.5000 0.0000
N: 0.5000 0.0000 0.0000
O: 0.0000 0.0000 0.5000